A plane-wave DFT calculation with GGA-PBE was carried out for crystalline CuRuS2Cl at its relaxed geometry.

It has space group P4/mmm (No. 123), with a = 4.556 Å, b = 4.556 Å, c = 4.620 Å, α = 90.00°, β = 90.00° and γ = 90.00°. The distinct sites, in fractional coordinates, are Cu at (0.000, 0.000, 0.000), Ru at (0.500, 0.500, 0.500), S at (0.000, 0.500, 0.000) and Cl at (0.000, 0.000, 0.500).

As for the total energy: -3.81 eV/atom. Its crystal system is tetragonal. The calculation puts the formation energy from raw total energies at 885 meV per atom. The density of states at the Fermi level comes out at 5.84 states/eV/cell. For the calculated volume, the calculation gives 19.18 A^3/atom.

=====

A plane-wave DFT calculation with GGA-PBE was carried out for crystalline CuRuSCl2 at its relaxed geometry.

It has space group P4/mmm (No. 123), with a = 4.985 Å, b = 4.985 Å, c = 4.356 Å, α = 90.00°, β = 90.00° and γ = 90.00°. The distinct sites, in fractional coordinates, are Cu at (0.000, 0.000, 0.000), Ru at (0.500, 0.500, 0.500), S at (0.500, 0.500, 0.000) and Cl at (0.000, 0.500, 0.500).

As for the total energy: -3.94 eV/atom. Its crystal system is tetragonal. The calculation puts the formation energy from raw total energies at 295 meV per atom. The density of states at the Fermi level comes out at 1.77 states/eV/cell. For the calculated volume, the calculation gives 21.65 A^3/atom.

=====

A plane-wave DFT calculation with GGA-PBE was carried out for crystalline Sm6CuRu2Cl3 at its relaxed geometry.

It has space group C2/m (No. 12), with a = 6.954 Å, b = 12.049 Å, c = 7.911 Å, α = 90.00°, β = 107.04° and γ = 90.00°. The distinct sites, in fractional coordinates, are Sm at (0.222, 0.000, 0.206), Sm at (0.242, 0.327, 0.207), Cu at (0.000, 0.500, 0.000), Ru at (0.000, 0.166, 0.000), Cl at (0.000, 0.000, 0.500) and Cl at (0.000, 0.329, 0.500).

As for the total energy: -5.60 eV/atom. Its crystal system is monoclinic. The calculation puts the formation energy from raw total energies at -895 meV per atom. The density of states at the Fermi level comes out at 7.41 states/eV/cell. For the calculated volume, the calculation gives 26.41 A^3/atom.